Entry 1:
DFT (PBE-GGA) results for crystalline CaRuSe2 at its relaxed geometry.

Geometry as extended XYZ:
```
4
Lattice="3.785 -0.227 0.000 -1.464 3.497 0.000 0.000 0.000 7.013" Properties=species:S:1:pos:R:3 pbc="T T T"
Ru 1.160 1.635 5.260
Ca 1.160 1.635 1.753
Se 0.000 0.000 6.795
Se 0.000 0.000 3.725
```

## Properties
distance to the lowest polymorph of the same formula = 0.479 eV/atom
density of states at the Fermi level = 3.23 states/eV/cell
VASP energy = -4.96 eV per atom
ΔE_f (raw) = -0.40 eV/atom
symmetry = Cmmm (65)

---

Entry 2:
DFT (PBE-GGA) results for crystalline K2PrCl6 at its relaxed geometry.

Geometry as extended XYZ:
```
9
Lattice="4.428 0.000 0.000 0.000 8.136 0.000 0.000 -4.068 7.066" Properties=species:S:1:pos:R:3 pbc="T T T"
K 0.000 -0.005 4.705
K 0.000 4.063 2.361
Pr 2.214 0.006 0.000
Cl 2.214 5.237 0.000
Cl 2.214 1.448 2.524
Cl 2.214 5.516 4.542
Cl 0.000 1.956 0.000
Cl 0.000 3.092 5.377
Cl 0.000 7.160 1.689
```

## Properties
density of states at the Fermi level = 8.88 states/eV/cell
VASP energy = -3.83 eV per atom
ΔE_f (raw) = -1.82 eV/atom
symmetry = Amm2 (38)

---

Entry 3:
DFT (PBE-GGA) results for crystalline BeBSCl2 at its relaxed geometry.

Geometry as extended XYZ:
```
5
Lattice="4.150 0.000 0.000 0.000 4.545 0.000 0.000 0.000 4.150" Properties=species:S:1:pos:R:3 pbc="T T T"
Be 2.075 2.273 2.075
S 0.000 2.273 0.000
B 0.000 0.000 0.000
Cl 0.000 0.000 2.075
Cl 2.075 0.000 0.000
```

## Properties
distance to the lowest polymorph of the same formula = 0.051 eV/atom
density of states at the Fermi level = 1.18 states/eV/cell
VASP energy = -2.96 eV per atom
ΔE_f (raw) = 0.69 eV/atom
symmetry = P4/mmm (123)

---

Entry 4:
DFT (PBE-GGA) results for crystalline Sc3TlGa2 at its relaxed geometry.

Geometry as extended XYZ:
```
6
Lattice="-0.738 3.190 0.978 -2.699 -1.160 1.747 6.044 -1.218 8.527" Properties=species:S:1:pos:R:3 pbc="T T T"
Sc 0.000 0.000 0.000
Sc 4.155 -0.837 5.862
Sc 1.889 -0.381 2.665
Tl 1.304 0.407 5.626
Ga 3.382 -0.012 8.557
Ga -0.774 0.825 2.695
```

## Properties
energy relative to the elements = -472 meV/atom
density of states at the Fermi level = 3.13 states/eV/cell
VASP energy = -5.04 eV per atom
symmetry = P4/mmm (123)

---

Entry 5:
DFT (PBE-GGA) results for crystalline In5Hg4Bi at its relaxed geometry.

Geometry as extended XYZ:
```
10
Lattice="3.415 0.000 0.000 0.000 3.415 0.000 0.000 0.000 23.261" Properties=species:S:1:pos:R:3 pbc="T T T"
In 1.708 1.708 2.519
In 1.708 1.708 7.110
In 1.708 1.708 11.630
In 1.708 1.708 16.151
In 1.708 1.708 20.742
Hg 0.000 0.000 4.869
Hg 0.000 0.000 9.394
Hg 0.000 0.000 13.867
Hg 0.000 0.000 18.392
Bi 0.000 0.000 0.000
```

## Properties
energy relative to the elements = -5 meV/atom
density of states at the Fermi level = 3.06 states/eV/cell
VASP energy = -1.88 eV per atom
symmetry = P4/mmm (123)

---

Entry 6:
DFT (PBE-GGA) results for crystalline NbSI2 at its relaxed geometry.

Geometry as extended XYZ:
```
4
Lattice="3.811 0.000 -0.002 0.000 4.794 -0.001 -1.906 -2.397 7.675" Properties=species:S:1:pos:R:3 pbc="T T T"
Nb 1.905 0.234 -0.001
S 0.000 0.068 7.674
I 0.001 -0.064 2.109
I 1.904 2.333 5.564
```

## Properties
distance to the lowest polymorph of the same formula = 0.000 eV/atom
density of states at the Fermi level = 1.63 states/eV/cell
VASP energy = -4.84 eV per atom
ΔE_f (raw) = -0.52 eV/atom
symmetry = Imm2 (44)

---

Entry 7:
DFT (PBE-GGA) results for crystalline RbTeAs2O8 at its relaxed geometry.

Geometry as extended XYZ:
```
12
Lattice="5.117 0.000 0.000 2.558 4.431 0.000 2.558 1.477 9.528" Properties=species:S:1:pos:R:3 pbc="T T T"
Rb 0.000 0.000 0.000
Te 5.117 2.954 4.764
As 7.675 4.431 6.744
As 2.558 1.477 2.784
O 7.675 4.431 8.411
O 2.558 1.477 1.117
O 4.180 1.669 3.413
O 6.698 3.123 6.115
O 4.180 4.239 6.115
O 4.472 4.408 3.413
O 6.698 2.785 3.413
O 4.472 1.500 6.115
```

## Properties
density of states at the Fermi level = 4.96 states/eV/cell
VASP energy = -5.55 eV per atom
ΔE_f (raw) = -1.12 eV/atom
symmetry = R32 (155)

---

Entry 8:
DFT (PBE-GGA) results for crystalline Cu at its relaxed geometry.

Geometry as extended XYZ:
```
1
Lattice="-0.665 -2.250 -0.618 2.137 -0.293 -1.233 1.993 -0.910 1.166" Properties=species:S:1:pos:R:3 pbc="T T T"
Cu 1.732 -1.726 -0.343
```

## Properties
distance to the lowest polymorph of the same formula = 0.271 eV/atom
energy relative to the elements = 271 meV/atom
density of states at the Fermi level = 0.41 states/eV/cell
VASP energy = -3.83 eV per atom
symmetry = P6/mmm (191)

---

Entry 9:
DFT (PBE-GGA) results for crystalline KBeAg2 at its relaxed geometry.

Geometry as extended XYZ:
```
4
Lattice="3.098 0.000 0.000 0.000 3.093 0.004 0.000 3.065 8.346" Properties=species:S:1:pos:R:3 pbc="T T T"
Be 1.549 1.540 2.087
K 1.549 4.619 6.262
Ag 0.000 3.090 0.693
Ag 0.000 3.083 3.485
```

## Properties
energy relative to the elements = 292 meV/atom
density of states at the Fermi level = 1.91 states/eV/cell
VASP energy = -2.34 eV per atom
symmetry = P2/m (10)

---

Entry 10:
DFT (PBE-GGA) results for crystalline Pm4SmHo7 at its relaxed geometry.

Geometry as extended XYZ:
```
12
Lattice="-0.739 3.756 4.488 -5.606 -6.176 8.123 4.925 0.111 4.596" Properties=species:S:1:pos:R:3 pbc="T T T"
Pm 0.756 1.069 6.983
Pm -2.176 -3.379 10.223
Pm -0.446 -1.170 12.536
Pm -0.974 -1.140 4.670
Sm 0.000 0.000 0.000
Ho -3.301 -2.683 13.333
Ho 1.881 0.374 3.874
Ho -2.963 -3.943 6.689
Ho 1.543 1.634 10.518
Ho 0.721 -1.604 9.215
Ho -0.370 1.878 2.244
Ho -2.141 -0.705 7.992
```

## Properties
distance to the lowest polymorph of the same formula = 0.178 eV/atom
energy relative to the elements = 264 meV/atom
density of states at the Fermi level = 19.93 states/eV/cell
VASP energy = -4.38 eV per atom
symmetry = C2/m (12)

---

Entry 11:
DFT (PBE-GGA) results for crystalline NiAsPd at its relaxed geometry.

Geometry as extended XYZ:
```
6
Lattice="3.942 0.000 0.000 0.000 5.188 0.533 0.000 0.075 5.215" Properties=species:S:1:pos:R:3 pbc="T T T"
As 0.000 0.000 0.000
As 1.971 2.631 2.874
Pd 0.000 3.618 3.952
Pd 0.000 1.645 1.796
Ni 1.971 0.981 4.385
Ni 1.971 4.282 1.363
```

## Properties
energy relative to the elements = 63 meV/atom
density of states at the Fermi level = 5.26 states/eV/cell
VASP energy = -5.14 eV per atom
symmetry = Cmmm (65)

---

Entry 12:
DFT (PBE-GGA) results for crystalline BaYBi at its relaxed geometry.

Geometry as extended XYZ:
```
6
Lattice="4.828 0.000 -1.259 -0.328 4.817 -1.259 0.000 0.000 9.887" Properties=species:S:1:pos:R:3 pbc="T T T"
Ba 3.037 3.251 1.758
Ba 1.463 1.566 5.611
Y 2.414 0.000 -0.630
Y -0.164 2.408 -0.630
Bi 0.539 0.577 2.068
Bi 3.961 4.240 5.301
```

## Properties
distance to the lowest polymorph of the same formula = 0.000 eV/atom
energy relative to the elements = -704 meV/atom
density of states at the Fermi level = 5.71 states/eV/cell
VASP energy = -4.79 eV per atom
symmetry = I4/mmm (139)

---

Entry 13:
DFT (PBE-GGA) results for crystalline ZrC at its relaxed geometry.

Geometry as extended XYZ:
```
6
Lattice="-3.544 3.791 -0.895 -0.022 -2.597 4.581 2.165 2.340 1.337" Properties=species:S:1:pos:R:3 pbc="T T T"
Zr 0.000 0.000 0.000
Zr -0.113 0.702 3.424
Zr -1.287 2.832 1.599
C -1.772 1.896 -0.447
C -0.011 -1.299 2.291
C -1.783 0.597 1.843
```

## Properties
distance to the lowest polymorph of the same formula = 0.735 eV/atom
energy relative to the elements = -72 meV/atom
density of states at the Fermi level = 2.77 states/eV/cell
VASP energy = -8.96 eV per atom
symmetry = P6/mmm (191)